Material: CrSeN2F
Method: DFT, PBE with a Hubbard U
State: relaxed

Lattice parameters (Å, degrees): 3.9104 3.9104 4.1411 90.00 90.00 90.00
Space group P4/mmm (No. 123)
One atom of each set of equivalent atoms:
Cr  0.0000  0.0000  0.0000 (multiplicity 1)
Se  0.5000  0.5000  0.5000 (multiplicity 1)
N  0.0000  0.5000  0.5000 (multiplicity 2)
F  0.5000  0.5000  0.0000 (multiplicity 1)

Total energy ... -0.3725 Ry/atom